Arrangement P

Compound: CrHIr3
Source: Alexandria
Functional: PBE-GGA
Structure: relaxed

Cell: 4.4727 4.4727 4.4727 Å, 90.00 90.00 90.00°
With the nearest neighbours (Å) after each atom.
Fractional positions:
Cr  0.0000  0.0000  0.0000  6 Ir 2.24
H  0.5000  0.5000  0.5000  12 Ir 3.16
Ir  0.0000  0.0000  0.5000  2 Cr 2.24
Ir  0.0000  0.5000  0.0000  2 Cr 2.24
Ir  0.5000  0.0000  0.0000  2 Cr 2.24

N(E_F) (states/eV per cell): 6.20
Calculated volume (Å³ per atom): 17.89



Arrangement Q

Compound: CrHIr3
Source: Alexandria
Functional: PBE-GGA
Structure: relaxed

Cell: 3.8955 3.8955 3.8955 Å, 90.00 90.00 90.00°
With the nearest neighbours (Å) after each atom.
Fractional positions:
Cr  0.0000  0.0000  0.0000  12 Ir 2.75
H  0.5000  0.5000  0.5000  6 Ir 1.95
Ir  0.0000  0.5000  0.5000  2 H 1.95
Ir  0.5000  0.0000  0.5000  2 H 1.95
Ir  0.5000  0.5000  0.0000  2 H 1.95

N(E_F) (states/eV per cell): 2.01
Calculated volume (Å³ per atom): 11.82



What should be chosen as the most stable of them? Choose arrangement Q.



Arrangement P

Compound: MnCrHIr2
Source: Alexandria
Functional: PBE-GGA
Structure: relaxed

Cell: 3.8805 3.8805 3.7878 Å, 90.00 90.00 90.00°
With the nearest neighbours (Å) after each atom.
Fractional positions:
Mn  0.0000  0.0000  0.0000  2 H 1.89
Cr  0.5000  0.5000  0.0000  8 Ir 2.71, 4 Mn 2.74
H  0.0000  0.0000  0.5000  2 Mn 1.89, 4 Ir 1.94
Ir  0.0000  0.5000  0.5000  2 H 1.94
Ir  0.5000  0.0000  0.5000  2 H 1.94

N(E_F) (states/eV per cell): 2.61
Calculated volume (Å³ per atom): 11.41



Arrangement Q

Compound: MnCrHIr2
Source: Alexandria
Functional: PBE-GGA
Structure: relaxed

Cell: 3.8795 3.8795 3.7967 Å, 90.00 90.00 90.00°
With the nearest neighbours (Å) after each atom.
Fractional positions:
Mn  0.0000  0.0000  0.0000  8 Ir 2.71, 4 Cr 2.74
Cr  0.5000  0.5000  0.0000  2 H 1.90
H  0.5000  0.5000  0.5000  2 Cr 1.90, 4 Ir 1.94
Ir  0.0000  0.5000  0.5000  2 H 1.94
Ir  0.5000  0.0000  0.5000  2 H 1.94

N(E_F) (states/eV per cell): 2.17
Calculated volume (Å³ per atom): 11.43



What should be chosen as the most stable of them? Choose arrangement Q.



Arrangement P

Compound: Nb2CrHIr
Source: Alexandria
Functional: PBE-GGA
Structure: relaxed

Cell: 4.2868 4.2868 3.5538 Å, 90.00 90.00 90.00°
With the nearest neighbours (Å) after each atom.
Fractional positions:
Nb  0.0000  0.5000  0.0000  2 H 2.14
Nb  0.5000  0.0000  0.0000  2 H 2.14
Cr  0.0000  0.0000  0.5000  2 H 1.78
H  0.0000  0.0000  0.0000  2 Cr 1.78
Ir  0.5000  0.5000  0.5000  8 Nb 2.78, 4 Cr 3.03

N(E_F) (states/eV per cell): 5.08
Calculated volume (Å³ per atom): 13.06



Arrangement Q

Compound: Nb2CrHIr
Source: Alexandria
Functional: PBE-GGA
Structure: relaxed

Cell: 4.2886 4.2886 3.6008 Å, 90.00 90.00 90.00°
With the nearest neighbours (Å) after each atom.
Fractional positions:
Nb  0.0000  0.5000  0.0000  2 H 2.14
Nb  0.5000  0.0000  0.0000  2 H 2.14
Cr  0.0000  0.0000  0.5000  8 Nb 2.80, 4 Ir 3.03
H  0.5000  0.5000  0.0000  2 Ir 1.80
Ir  0.5000  0.5000  0.5000  2 H 1.80

N(E_F) (states/eV per cell): 3.56
Calculated volume (Å³ per atom): 13.25



What should be chosen as the most stable of them? Choose arrangement P.



Arrangement P

Compound: Cr2NiHIr
Source: Alexandria
Functional: PBE-GGA
Structure: relaxed

Cell: 3.6787 3.6787 3.7357 Å, 90.00 90.00 90.00°
With the nearest neighbours (Å) after each atom.
Fractional positions:
Cr  0.0000  0.5000  0.0000  2 H 1.84
Cr  0.5000  0.0000  0.0000  2 H 1.84
Ni  0.0000  0.0000  0.5000  2 H 1.87
H  0.0000  0.0000  0.0000  4 Cr 1.84, 2 Ni 1.87
Ir  0.5000  0.5000  0.5000  4 Ni 2.60, 8 Cr 2.62

N(E_F) (states/eV per cell): 4.24
Calculated volume (Å³ per atom): 10.11



Arrangement Q

Compound: Cr2NiHIr
Source: Alexandria
Functional: PBE-GGA
Structure: relaxed

Cell: 3.6611 3.6611 3.8130 Å, 90.00 90.00 90.00°
With the nearest neighbours (Å) after each atom.
Fractional positions:
Cr  0.0000  0.5000  0.0000  2 H 1.83
Cr  0.5000  0.0000  0.0000  2 H 1.83
Ni  0.0000  0.0000  0.5000  4 Ir 2.59, 8 Cr 2.64
H  0.5000  0.5000  0.0000  4 Cr 1.83, 2 Ir 1.91
Ir  0.5000  0.5000  0.5000  2 H 1.91

N(E_F) (states/eV per cell): 5.21
Calculated volume (Å³ per atom): 10.22



What should be chosen as the most stable of them? Choose arrangement P.



Arrangement P

Compound: CrHIr2Rh
Source: Alexandria
Functional: PBE-GGA
Structure: relaxed

Cell: 3.8723 3.8723 3.8864 Å, 90.00 90.00 90.00°
With the nearest neighbours (Å) after each atom.
Fractional positions:
Cr  0.0000  0.0000  0.0000  2 H 1.94
H  0.0000  0.0000  0.5000  4 Ir 1.94, 2 Cr 1.94
Ir  0.0000  0.5000  0.5000  2 H 1.94
Ir  0.5000  0.0000  0.5000  2 H 1.94
Rh  0.5000  0.5000  0.0000  4 Cr 2.74, 8 Ir 2.74

N(E_F) (states/eV per cell): 2.79
Calculated volume (Å³ per atom): 11.66



Arrangement Q

Compound: CrHIr2Rh
Source: Alexandria
Functional: PBE-GGA
Structure: relaxed

Cell: 3.8922 3.8922 3.8785 Å, 90.00 90.00 90.00°
With the nearest neighbours (Å) after each atom.
Fractional positions:
Cr  0.0000  0.0000  0.0000  8 Ir 2.75, 4 Rh 2.75
H  0.5000  0.5000  0.5000  2 Rh 1.94, 4 Ir 1.95
Ir  0.0000  0.5000  0.5000  2 H 1.95
Ir  0.5000  0.0000  0.5000  2 H 1.95
Rh  0.5000  0.5000  0.0000  2 H 1.94

N(E_F) (states/eV per cell): 2.64
Calculated volume (Å³ per atom): 11.75



What should be chosen as the most stable of them? Choose arrangement P.



Arrangement P

Compound: TaCrHIr2
Source: Alexandria
Functional: PBE-GGA
Structure: relaxed

Cell: 3.9191 3.9191 3.9461 Å, 90.00 90.00 90.00°
With the nearest neighbours (Å) after each atom.
Fractional positions:
Ta  0.0000  0.0000  0.0000  4 Cr 2.77, 8 Ir 2.78
Cr  0.5000  0.5000  0.0000  2 H 1.97
H  0.5000  0.5000  0.5000  4 Ir 1.96, 2 Cr 1.97
Ir  0.0000  0.5000  0.5000  2 H 1.96
Ir  0.5000  0.0000  0.5000  2 H 1.96

N(E_F) (states/eV per cell): 3.71
Calculated volume (Å³ per atom): 12.12



Arrangement Q

Compound: TaCrHIr2
Source: Alexandria
Functional: PBE-GGA
Structure: relaxed

Cell: 3.9119 3.9119 4.0283 Å, 90.00 90.00 90.00°
With the nearest neighbours (Å) after each atom.
Fractional positions:
Ta  0.0000  0.0000  0.0000  2 H 2.01
Cr  0.5000  0.5000  0.0000  4 Ta 2.77, 8 Ir 2.81
H  0.0000  0.0000  0.5000  4 Ir 1.96, 2 Ta 2.01
Ir  0.0000  0.5000  0.5000  2 H 1.96
Ir  0.5000  0.0000  0.5000  2 H 1.96

N(E_F) (states/eV per cell): 3.77
Calculated volume (Å³ per atom): 12.33



What should be chosen as the most stable of them? Choose arrangement P.



Arrangement P

Compound: CrTcHIr2
Source: Alexandria
Functional: PBE-GGA
Structure: relaxed

Cell: 3.8657 3.8657 3.9319 Å, 90.00 90.00 90.00°
With the nearest neighbours (Å) after each atom.
Fractional positions:
Cr  0.0000  0.0000  0.0000  4 Tc 2.73, 8 Ir 2.76
Tc  0.5000  0.5000  0.0000  2 H 1.97
H  0.5000  0.5000  0.5000  4 Ir 1.93, 2 Tc 1.97
Ir  0.0000  0.5000  0.5000  2 H 1.93
Ir  0.5000  0.0000  0.5000  2 H 1.93

N(E_F) (states/eV per cell): 2.86
Calculated volume (Å³ per atom): 11.75



Arrangement Q

Compound: CrTcHIr2
Source: Alexandria
Functional: PBE-GGA
Structure: relaxed

Cell: 3.8434 3.8434 3.9055 Å, 90.00 90.00 90.00°
With the nearest neighbours (Å) after each atom.
Fractional positions:
Cr  0.0000  0.0000  0.0000  2 H 1.95
Tc  0.5000  0.5000  0.0000  4 Cr 2.72, 8 Ir 2.74
H  0.0000  0.0000  0.5000  4 Ir 1.92, 2 Cr 1.95
Ir  0.0000  0.5000  0.5000  2 H 1.92
Ir  0.5000  0.0000  0.5000  2 H 1.92

N(E_F) (states/eV per cell): 4.36
Calculated volume (Å³ per atom): 11.54



What should be chosen as the most stable of them? Choose arrangement P.



Arrangement P

Compound: TiCrHIr2
Source: Alexandria
Functional: PBE-GGA
Structure: relaxed

Cell: 3.9371 3.9371 3.8735 Å, 90.00 90.00 90.00°
With the nearest neighbours (Å) after each atom.
Fractional positions:
Ti  0.0000  0.0000  0.0000  2 H 1.94
Cr  0.5000  0.5000  0.0000  8 Ir 2.76, 4 Ti 2.78
H  0.0000  0.0000  0.5000  2 Ti 1.94, 4 Ir 1.97
Ir  0.0000  0.5000  0.5000  2 H 1.97
Ir  0.5000  0.0000  0.5000  2 H 1.97

N(E_F) (states/eV per cell): 3.89
Calculated volume (Å³ per atom): 12.01



Arrangement Q

Compound: TiCrHIr2
Source: Alexandria
Functional: PBE-GGA
Structure: relaxed

Cell: 3.9691 3.9691 3.7969 Å, 90.00 90.00 90.00°
With the nearest neighbours (Å) after each atom.
Fractional positions:
Ti  0.0000  0.0000  0.0000  8 Ir 2.75, 4 Cr 2.81
Cr  0.5000  0.5000  0.0000  2 H 1.90
H  0.5000  0.5000  0.5000  2 Cr 1.90, 4 Ir 1.98
Ir  0.0000  0.5000  0.5000  2 H 1.98
Ir  0.5000  0.0000  0.5000  2 H 1.98

N(E_F) (states/eV per cell): 3.26
Calculated volume (Å³ per atom): 11.96



What should be chosen as the most stable of them? Choose arrangement Q.



Arrangement P

Compound: VCr2HIr
Source: Alexandria
Functional: PBE-GGA
Structure: relaxed

Cell: 3.7487 3.7487 3.8356 Å, 90.00 90.00 90.00°
With the nearest neighbours (Å) after each atom.
Fractional positions:
V  0.0000  0.0000  0.0000  4 Ir 2.65, 8 Cr 2.68
Cr  0.0000  0.5000  0.5000  2 H 1.87
Cr  0.5000  0.0000  0.5000  2 H 1.87
H  0.5000  0.5000  0.5000  4 Cr 1.87, 2 Ir 1.92
Ir  0.5000  0.5000  0.0000  2 H 1.92

N(E_F) (states/eV per cell): 5.62
Calculated volume (Å³ per atom): 10.78



Arrangement Q

Compound: VCr2HIr
Source: Alexandria
Functional: PBE-GGA
Structure: relaxed

Cell: 3.7380 3.7380 3.8122 Å, 90.00 90.00 90.00°
With the nearest neighbours (Å) after each atom.
Fractional positions:
V  0.0000  0.0000  0.0000  2 H 1.91
Cr  0.0000  0.5000  0.5000  2 H 1.87
Cr  0.5000  0.0000  0.5000  2 H 1.87
H  0.0000  0.0000  0.5000  4 Cr 1.87, 2 V 1.91
Ir  0.5000  0.5000  0.0000  4 V 2.64, 8 Cr 2.67

N(E_F) (states/eV per cell): 5.23
Calculated volume (Å³ per atom): 10.65



What should be chosen as the most stable of them? Choose arrangement Q.



Arrangement P

Compound: ZnCr2HIr
Source: Alexandria
Functional: PBE-GGA
Structure: relaxed

Cell: 3.6808 3.6808 4.0455 Å, 90.00 90.00 90.00°
With the nearest neighbours (Å) after each atom.
Fractional positions:
Zn  0.0000  0.0000  0.0000  2 H 2.02
Cr  0.0000  0.5000  0.5000  2 H 1.84
Cr  0.5000  0.0000  0.5000  2 H 1.84
H  0.0000  0.0000  0.5000  4 Cr 1.84, 2 Zn 2.02
Ir  0.5000  0.5000  0.0000  4 Zn 2.60, 8 Cr 2.73

N(E_F) (states/eV per cell): 5.22
Calculated volume (Å³ per atom): 10.96



Arrangement Q

Compound: ZnCr2HIr
Source: Alexandria
Functional: PBE-GGA
Structure: relaxed

Cell: 3.7624 3.7624 3.9095 Å, 90.00 90.00 90.00°
With the nearest neighbours (Å) after each atom.
Fractional positions:
Zn  0.0000  0.0000  0.0000  4 Ir 2.66, 8 Cr 2.71
Cr  0.0000  0.5000  0.5000  2 H 1.88
Cr  0.5000  0.0000  0.5000  2 H 1.88
H  0.5000  0.5000  0.5000  4 Cr 1.88, 2 Ir 1.95
Ir  0.5000  0.5000  0.0000  2 H 1.95

N(E_F) (states/eV per cell): 6.26
Calculated volume (Å³ per atom): 11.07



What should be chosen as the most stable of them? Choose arrangement Q.



Arrangement P

Compound: KCrH2
Source: Alexandria
Functional: PBE-GGA
Structure: relaxed

Cell: 4.4158 4.4158 4.4158 Å, 60.00 60.00 60.00°
With the nearest neighbours (Å) after each atom.
Fractional positions:
K  0.0000  0.0000  0.0000  8 H 2.70
Cr  0.5000  0.5000  0.5000  8 H 2.70
H  0.2500  0.2500  0.2500  4 Cr 2.70, 4 K 2.70
H  0.7500  0.7500  0.7500  4 Cr 2.70, 4 K 2.70

N(E_F) (states/eV per cell): 1.50
Calculated volume (Å³ per atom): 15.22



Arrangement Q

Compound: KCrH2
Source: Alexandria
Functional: PBE-GGA
Structure: relaxed

Cell: 5.6475 5.6475 5.6475 Å, 118.88 118.88 91.95°
With the nearest neighbours (Å) after each atom.
Fractional positions:
K  0.0000  0.0000  0.0000  4 H 2.76
K  0.7500  0.2500  0.5000  4 H 2.76
Cr  0.2500  0.7500  0.5000  4 H 1.88
Cr  0.5000  0.5000  0.0000  4 H 1.88
H  0.2492  0.6250  0.1242  2 Cr 1.88
H  0.3750  0.4992  0.6242  2 Cr 1.88
H  0.5008  0.1250  0.8758  2 Cr 1.88
H  0.8750  0.7508  0.3758  2 Cr 1.88

N(E_F) (states/eV per cell): 0.21
Calculated volume (Å³ per atom): 16.18



What should be chosen as the most stable of them? Choose arrangement Q.



Arrangement P

Compound: KCr3H
Source: Alexandria
Functional: PBE-GGA
Structure: relaxed

Cell: 5.7646 5.7646 5.7646 Å, 90.00 90.00 90.00°
With the nearest neighbours (Å) after each atom.
Fractional positions:
K  0.0000  0.0000  0.0000  6 Cr 2.88
Cr  0.0000  0.0000  0.5000  2 K 2.88
Cr  0.0000  0.5000  0.0000  2 K 2.88
Cr  0.5000  0.0000  0.0000  2 K 2.88
H  0.5000  0.5000  0.5000  12 Cr 4.08

N(E_F) (states/eV per cell): 1.82
Calculated volume (Å³ per atom): 38.31



Arrangement Q

Compound: KCr3H
Source: Alexandria
Functional: PBE-GGA
Structure: relaxed

Cell: 4.5700 4.5700 4.5700 Å, 90.00 90.00 90.00°
With the nearest neighbours (Å) after each atom.
Fractional positions:
K  0.0000  0.0000  0.0000  12 Cr 3.23
Cr  0.0000  0.5000  0.5000  2 H 2.28
Cr  0.5000  0.0000  0.5000  2 H 2.28
Cr  0.5000  0.5000  0.0000  2 H 2.28
H  0.5000  0.5000  0.5000  6 Cr 2.28

N(E_F) (states/eV per cell): 1.82
Calculated volume (Å³ per atom): 19.09



What should be chosen as the most stable of them? Choose arrangement Q.



Arrangement P

Compound: LaCr2H
Source: Alexandria
Functional: PBE-GGA
Structure: relaxed

Cell: 4.1982 4.1982 4.1982 Å, 60.00 60.00 60.00°
With the nearest neighbours (Å) after each atom.
Fractional positions:
La  0.0000  0.0000  0.0000  8 Cr 2.57
Cr  0.2500  0.2500  0.2500  4 La 2.57, 4 H 2.57
Cr  0.7500  0.7500  0.7500  4 La 2.57, 4 H 2.57
H  0.5000  0.5000  0.5000  8 Cr 2.57

N(E_F) (states/eV per cell): 5.54
Calculated volume (Å³ per atom): 13.08



Arrangement Q

Compound: LaCr2H
Source: Alexandria
Functional: PBE-GGA
Structure: relaxed

Cell: 5.4953 5.4953 5.4953 Å, 120.13 120.13 89.78°
With the nearest neighbours (Å) after each atom.
Fractional positions:
La  0.3750  0.6250  0.7500  12 Cr 3.22-3.23, 4 La 3.36, 4 H 3.36
La  0.6250  0.3750  0.2500  12 Cr 3.22-3.23, 4 La 3.36, 4 H 3.36
Cr  0.0000  0.0000  0.0000  2 H 1.68
Cr  0.0000  0.0000  0.5000  2 H 1.68
Cr  0.0000  0.5000  0.0000  2 H 1.68
Cr  0.5000  0.0000  0.5000  2 H 1.68
H  0.1250  0.8750  0.2500  4 Cr 1.68
H  0.8750  0.1250  0.7500  4 Cr 1.68

N(E_F) (states/eV per cell): 11.18
Calculated volume (Å³ per atom): 14.64



What should be chosen as the most stable of them? Choose arrangement Q.



Arrangement P

Compound: LiCr3H
Source: Alexandria
Functional: PBE-GGA
Structure: relaxed

Cell: 3.6514 3.6514 3.6514 Å, 90.00 90.00 90.00°
With the nearest neighbours (Å) after each atom.
Fractional positions:
Li  0.0000  0.0000  0.0000  12 Cr 2.58
Cr  0.0000  0.5000  0.5000  2 H 1.83
Cr  0.5000  0.0000  0.5000  2 H 1.83
Cr  0.5000  0.5000  0.0000  2 H 1.83
H  0.5000  0.5000  0.5000  6 Cr 1.83

N(E_F) (states/eV per cell): 3.73
Calculated volume (Å³ per atom): 9.74



Arrangement Q

Compound: LiCr3H
Source: Alexandria
Functional: PBE-GGA
Structure: relaxed

Cell: 3.9062 3.9062 3.9062 Å, 90.00 90.00 90.00°
With the nearest neighbours (Å) after each atom.
Fractional positions:
Li  0.0000  0.0000  0.0000  6 Cr 1.95
Cr  0.0000  0.0000  0.5000  2 Li 1.95
Cr  0.0000  0.5000  0.0000  2 Li 1.95
Cr  0.5000  0.0000  0.0000  2 Li 1.95
H  0.5000  0.5000  0.5000  12 Cr 2.76

N(E_F) (states/eV per cell): 5.45
Calculated volume (Å³ per atom): 11.92



What should be chosen as the most stable of them? Choose arrangement P.